{"formula": "Li3In2Hg9", "functional": "PBE", "state": "relaxed", "lattice_angstrom": [[7.114, -4.085, 0.000], [7.114, 4.085, 0.000], [-4.217, 0.000, 11.252]], "species": ["Li", "Li", "Li", "Li", "Li", "Li", "In", "In", "In", "In", "Hg", "Hg", "Hg", "Hg", "Hg", "Hg", "Hg", "Hg", "Hg", "Hg", "Hg", "Hg", "Hg", "Hg", "Hg", "Hg", "Hg", "Hg"], "fractional_positions": [[0.000, 0.500, 0.000], [0.165, 0.684, 0.529], [0.316, 0.835, 0.971], [0.500, 0.000, 0.500], [0.684, 0.165, 0.029], [0.835, 0.316, 0.471], [0.037, 0.247, 0.235], [0.247, 0.037, 0.735], [0.753, 0.963, 0.265], [0.963, 0.753, 0.765], [0.038, 0.845, 0.081], [0.132, 0.580, 0.261], [0.155, 0.962, 0.419], [0.179, 0.352, 0.580], [0.317, 0.461, 0.936], [0.352, 0.179, 0.080], [0.420, 0.868, 0.239], [0.428, 0.572, 0.750], [0.461, 0.317, 0.436], [0.539, 0.683, 0.564], [0.572, 0.428, 0.250], [0.580, 0.132, 0.761], [0.648, 0.821, 0.920], [0.683, 0.539, 0.064], [0.821, 0.648, 0.420], [0.845, 0.038, 0.581], [0.868, 0.420, 0.739], [0.962, 0.155, 0.919]], "energy_ev_per_atom": -1.131, "sg": "C2/c", "delta_e_f_ev_per_atom": -0.136, "density_g_cm3": 10.44}

{"formula": "LiMg2Cu6", "functional": "PBE", "state": "relaxed", "lattice_angstrom": [[0.000, 3.996, 3.996], [3.996, 0.000, 3.996], [3.996, 3.996, 0.000]], "species": ["Li", "Mg", "Mg", "Cu", "Cu", "Cu", "Cu", "Cu", "Cu"], "fractional_positions": [[0.000, 0.000, 0.000], [0.250, 0.250, 0.250], [0.750, 0.750, 0.750], [0.279, 0.279, 0.721], [0.279, 0.721, 0.279], [0.279, 0.721, 0.721], [0.721, 0.279, 0.279], [0.721, 0.279, 0.721], [0.721, 0.721, 0.279]], "energy_ev_per_atom": -3.195, "sg": "Fm-3m", "delta_e_f_ev_per_atom": 0.103, "density_g_cm3": 5.68}

{"formula": "BaNdSe2O8", "functional": "PBE", "state": "relaxed", "lattice_angstrom": [[5.861, 0.000, 0.000], [-2.930, 5.075, 0.000], [0.000, 0.000, 7.910]], "species": ["Ba", "Nd", "Se", "Se", "O", "O", "O", "O", "O", "O", "O", "O"], "fractional_positions": [[0.000, 0.000, 0.000], [0.000, 0.000, 0.500], [0.333, 0.667, 0.769], [0.667, 0.333, 0.231], [0.168, 0.336, 0.705], [0.168, 0.832, 0.705], [0.333, 0.667, 0.981], [0.336, 0.168, 0.295], [0.664, 0.832, 0.705], [0.667, 0.333, 0.019], [0.832, 0.168, 0.295], [0.832, 0.664, 0.295]], "energy_ev_per_atom": -6.067, "sg": "P-3m1", "raw_formation_energy_ev_per_atom": -1.62, "density_g_cm3": 4.01}

{"formula": "Pr2Al3Au4", "functional": "PBE", "state": "relaxed", "lattice_angstrom": [[2.994, -7.961, 0.000], [2.994, 7.961, 0.000], [0.000, 0.000, 7.839]], "species": ["Pr", "Pr", "Pr", "Pr", "Al", "Al", "Al", "Al", "Al", "Al", "Au", "Au", "Au", "Au", "Au", "Au", "Au", "Au"], "fractional_positions": [[0.108, 0.892, 0.906], [0.392, 0.608, 0.406], [0.608, 0.392, 0.594], [0.892, 0.108, 0.094], [0.000, 0.000, 0.500], [0.023, 0.477, 0.750], [0.477, 0.023, 0.250], [0.500, 0.500, 0.000], [0.523, 0.977, 0.750], [0.977, 0.523, 0.250], [0.184, 0.816, 0.525], [0.192, 0.308, 0.750], [0.308, 0.192, 0.250], [0.316, 0.684, 0.025], [0.684, 0.316, 0.975], [0.692, 0.808, 0.750], [0.808, 0.692, 0.250], [0.816, 0.184, 0.475]], "energy_ev_per_atom": -4.437, "sg": "Cmce", "delta_e_f_ev_per_atom": -0.670, "density_g_cm3": 10.23}

{"formula": "GdTm2Tl", "functional": "PBE", "state": "relaxed", "lattice_angstrom": [[3.595, 0.000, 0.000], [0.000, 3.595, 0.000], [0.000, 0.000, 9.017]], "species": ["Gd", "Tm", "Tm", "Tl"], "fractional_positions": [[0.000, 0.000, 0.000], [0.500, 0.500, 0.273], [0.500, 0.500, 0.727], [0.000, 0.000, 0.500]], "energy_ev_per_atom": -6.505, "sg": "P4/mmm", "delta_e_f_ev_per_atom": -0.157, "e_above_lowest_polymorph_mev_per_atom": 27, "density_g_cm3": 9.97}

{"formula": "KPa2Ag2Se6", "functional": "PBE", "state": "relaxed", "lattice_angstrom": [[7.399, 0.000, 0.000], [3.380, 6.646, 0.000], [3.452, 2.023, 6.823]], "species": ["K", "Pa", "Pa", "Ag", "Ag", "Se", "Se", "Se", "Se", "Se", "Se"], "fractional_positions": [[0.000, 0.000, 0.000], [0.327, 0.339, 0.000], [0.673, 0.661, 0.000], [0.446, 0.788, 0.619], [0.554, 0.212, 0.381], [0.085, 0.686, 0.766], [0.291, 0.567, 0.227], [0.465, 0.060, 0.769], [0.535, 0.940, 0.231], [0.709, 0.433, 0.773], [0.915, 0.314, 0.234]], "energy_ev_per_atom": -5.254, "sg": "P-1", "raw_formation_energy_ev_per_atom": -1.01, "density_g_cm3": 5.89}

{"formula": "Pm2ZrGe4Rh3", "functional": "PBE", "state": "relaxed", "lattice_angstrom": [[4.217, 0.000, 0.000], [0.000, 4.217, 0.000], [0.000, 0.000, 10.969]], "species": ["Pm", "Pm", "Zr", "Ge", "Ge", "Ge", "Ge", "Rh", "Rh", "Rh"], "fractional_positions": [[0.000, 0.500, 0.235], [0.500, 0.000, 0.765], [0.000, 0.000, 0.500], [0.000, 0.000, 0.000], [0.000, 0.500, 0.657], [0.500, 0.000, 0.343], [0.500, 0.500, 0.000], [0.000, 0.500, 0.881], [0.500, 0.000, 0.119], [0.500, 0.500, 0.500]], "energy_ev_per_atom": -6.670, "sg": "P-4m2", "delta_e_f_ev_per_atom": -0.812, "density_g_cm3": 8.35}

{"formula": "PPb2N", "functional": "PBE", "state": "relaxed", "lattice_angstrom": [[6.004, 0.000, 0.000], [0.000, 6.004, 0.000], [0.000, 0.000, 11.493]], "species": ["P", "P", "P", "P", "Pb", "Pb", "Pb", "Pb", "Pb", "Pb", "Pb", "Pb", "N", "N", "N", "N"], "fractional_positions": [[0.000, 0.000, 0.000], [0.000, 0.500, 0.250], [0.500, 0.000, 0.750], [0.500, 0.500, 0.500], [0.198, 0.250, 0.625], [0.250, 0.698, 0.875], [0.250, 0.802, 0.375], [0.302, 0.250, 0.125], [0.698, 0.750, 0.125], [0.750, 0.198, 0.375], [0.750, 0.302, 0.875], [0.802, 0.750, 0.625], [0.000, 0.000, 0.500], [0.000, 0.500, 0.750], [0.500, 0.000, 0.250], [0.500, 0.500, 0.000]], "energy_ev_per_atom": -4.687, "sg": "I-42d", "e_above_lowest_polymorph_mev_per_atom": 0, "raw_formation_energy_ev_per_atom": 0.60, "density_g_cm3": 7.37}